# CdW2O | the Alexandria database | PBE with a Hubbard U | optimized geometry
data_CdW2O
_chemical_formula_sum 'Cd2 W4 O2'
_symmetry_space_group_name_H-M 'P 1'
_symmetry_Int_Tables_number 1
_cell_length_a 5.572
_cell_length_b 5.572
_cell_length_c 7.488
_cell_angle_alpha 68.16
_cell_angle_beta 68.16
_cell_angle_gamma 90.00
loop_
_symmetry_equiv_pos_as_xyz
'x,y,z'
loop_
_atom_site_label
_atom_site_fract_x
_atom_site_fract_y
_atom_site_fract_z
O1 0.250 0.750 0.500
O2 0.500 0.500 0.000
Cd1 0.000 0.000 0.000
W1 0.875 0.629 0.750
Cd2 0.750 0.250 0.500
W2 0.371 0.625 0.250
W3 0.375 0.621 0.750
W4 0.379 0.125 0.250
# Excess energy over the best structure of this formula in the dataset = 0 meV per atom
# VASP energy = -4.4216 eV/atom